(1)
A plane-wave DFT calculation with PBE-GGA was carried out for a relaxed structure of SrCaCr.

Lattice parameters (Å, degrees): 7.9438 7.9438 7.9438 90.00 90.00 90.00
Space group F-43m (No. 216)
Inequivalent atoms, fractional coordinates:
Sr (0.0000, 0.0000, 0.0000) [4 per cell]
Ca (0.2500, 0.2500, 0.7500) [4 per cell]
Cr (0.2500, 0.2500, 0.2500) [4 per cell]

Properties
Density of states at the Fermi level (states/eV/cell): 9.44
DFT total energy (eV/atom): -3.36
Relative energy among the computed polymorphs (meV per atom): 576


(2)
A plane-wave DFT calculation with PBE-GGA was carried out for a relaxed structure of SrCaCr2.

Lattice parameters (Å, degrees): 4.7511 4.7511 10.4031 90.00 90.00 90.00
Space group I-4m2 (No. 119)
Inequivalent atoms, fractional coordinates:
Sr (0.0000, 0.0000, 0.0000) [2 per cell]
Ca (0.0000, 0.5000, 0.7500) [2 per cell]
Cr (0.0000, 0.0000, 0.5000) [2 per cell]
Cr (0.0000, 0.5000, 0.2500) [2 per cell]

Properties
Density of states at the Fermi level (states/eV/cell): 6.32
DFT total energy (eV/atom): -4.89
Relative energy among the computed polymorphs (meV per atom): 344


(3)
A plane-wave DFT calculation with PBE-GGA was carried out for a relaxed structure of SrCaCr2.

Lattice parameters (Å, degrees): 3.6835 3.6835 31.0994 90.00 90.00 120.00
Space group R-3m (No. 166, hexagonal axes)
Inequivalent atoms, fractional coordinates:
Sr (0.0000, 0.0000, 0.0000) [3 per cell]
Ca (0.0000, 0.0000, 0.5000) [3 per cell]
Cr (0.0000, 0.0000, 0.2473) [6 per cell]

Properties
Density of states at the Fermi level (states/eV/cell): 10.93
DFT total energy (eV/atom): -4.75
Relative energy among the computed polymorphs (meV per atom): 488


(4)
A plane-wave DFT calculation with PBE-GGA was carried out for a relaxed structure of SrCaCr.

Lattice parameters (Å, degrees): 5.6453 5.6453 3.9075 90.00 90.00 120.00
Space group P3m1 (No. 156)
Inequivalent atoms, fractional coordinates:
Sr (0.0000, 0.0000, 0.0000) [1 per cell]
Ca (0.6667, 0.3333, 0.4514) [1 per cell]
Cr (0.3333, 0.6667, 0.6008) [1 per cell]

Properties
Density of states at the Fermi level (states/eV/cell): 3.07
DFT total energy (eV/atom): -3.82
Relative energy among the computed polymorphs (meV per atom): 108


(5)
A plane-wave DFT calculation with PBE-GGA was carried out for a relaxed structure of SrCaCr2.

Lattice parameters (Å, degrees): 3.9139 3.9139 7.7857 90.00 90.00 90.00
Space group P4/mmm (No. 123)
Inequivalent atoms, fractional coordinates:
Sr (0.0000, 0.0000, 0.0000) [1 per cell]
Ca (0.0000, 0.0000, 0.5000) [1 per cell]
Cr (0.5000, 0.5000, 0.2748) [2 per cell]

Properties
Density of states at the Fermi level (states/eV/cell): 2.99
DFT total energy (eV/atom): -4.96
Relative energy among the computed polymorphs (meV per atom): 273


(6)
A plane-wave DFT calculation with PBE-GGA was carried out for a relaxed structure of Sr4CaCr.

Lattice parameters (Å, degrees): 10.5181 10.5181 10.5181 90.00 90.00 90.00
Space group F-43m (No. 216)
Inequivalent atoms, fractional coordinates:
Sr (0.1252, 0.1252, 0.1252) [16 per cell]
Ca (0.2500, 0.2500, 0.7500) [4 per cell]
Cr (0.0000, 0.0000, 0.5000) [4 per cell]

Properties
Density of states at the Fermi level (states/eV/cell): 25.53
DFT total energy (eV/atom): -2.43